Ba8SnPt2: optimized geometry, PBE-GGA.

Output
V: 57.4 A^3/atom
Energy of formation from the pure elements: -2.83 eV per formula unit
Space group: No. 2
VASP energy: -34.29 eV/cell

abc: 6.5054 10.5869 10.5845
angles: 120.03 89.99 90.01
Closest atoms and distances in Å follow each position.
Fractional coordinates of all 11 atoms:
Ba 0.2555 0.6667 0.3332  2 Pt 3.21-3.30
Ba 0.7445 0.3333 0.6667  2 Pt 3.21-3.30
Ba 0.7501 0.8309 0.1668  1 Pt 3.03
Ba 0.2499 0.1669 0.3360  1 Pt 3.03
Ba 0.2500 0.6641 0.8308  1 Pt 3.03
Ba 0.2499 0.1691 0.8332  1 Pt 3.03
Ba 0.7501 0.8331 0.6640  1 Pt 3.03
Ba 0.7500 0.3359 0.1692  1 Pt 3.03
Sn 0.0000 0.0000 0.0000  6 Ba 3.48
Pt 0.2378 0.3333 0.6668  5 Ba 3.03-3.30
Pt 0.7622 0.6667 0.3332  5 Ba 3.03-3.30

Ba3Sn3Pt2: optimized geometry, PBE-GGA.

Output
V: 31.2 A^3/atom
Energy of formation from the pure elements: -5.98 eV per formula unit
Space group: No. 63
VASP energy: -71.68 eV/cell

abc: 4.7467 6.6012 17.0577
angles: 90.00 90.00 111.07
Closest atoms and distances in Å follow each position.
Fractional coordinates of all 16 atoms:
Ba 0.9457 0.8915 0.3931  3 Pt 3.49-3.60, 7 Sn 3.58-3.82, 1 Ba 3.88
Ba 0.0543 0.1085 0.8931  3 Pt 3.49-3.60, 7 Sn 3.58-3.82, 1 Ba 3.88
Ba 0.9457 0.8915 0.1069  3 Pt 3.49-3.60, 7 Sn 3.58-3.82, 1 Ba 3.88
Ba 0.0543 0.1085 0.6069  3 Pt 3.49-3.60, 7 Sn 3.58-3.82, 1 Ba 3.88
Ba 0.6507 0.3013 0.2500  5 Sn 3.43-3.69, 4 Pt 3.55
Ba 0.3493 0.6987 0.7500  5 Sn 3.43-3.69, 4 Pt 3.55
Sn 0.6702 0.3405 0.4607  3 Pt 2.77-2.78
Sn 0.3298 0.6595 0.9607  3 Pt 2.77-2.78
Sn 0.6702 0.3405 0.0393  3 Pt 2.77-2.78
Sn 0.3298 0.6595 0.5393  3 Pt 2.77-2.78
Sn 0.3511 0.7023 0.2500  2 Pt 2.78
Sn 0.6489 0.2977 0.7500  2 Pt 2.78
Pt 0.7623 0.5246 0.8912  4 Sn 2.77-2.78
Pt 0.2377 0.4754 0.3912  4 Sn 2.77-2.78
Pt 0.7623 0.5246 0.6088  4 Sn 2.77-2.78
Pt 0.2377 0.4754 0.1088  4 Sn 2.77-2.78

BaSn12Pt4: optimized geometry, PBE-GGA.

Output
V: 25.9 A^3/atom
Energy of formation from the pure elements: -7.49 eV per formula unit
Space group: No. 204
VASP energy: -81.61 eV/cell

abc: 8.2958 8.2958 8.2958
angles: 109.47 109.47 109.47
Closest atoms and distances in Å follow each position.
Fractional coordinates of all 17 atoms:
Ba 0.0000 0.0000 0.0000  12 Sn 3.65
Sn 0.8402 0.3464 0.1866  2 Pt 2.71, 1 Sn 2.94
Sn 0.3464 0.5062 0.1598  2 Pt 2.71, 1 Sn 2.94
Sn 0.8134 0.1598 0.6536  2 Pt 2.71, 1 Sn 2.94
Sn 0.3464 0.1866 0.8402  2 Pt 2.71, 1 Sn 2.94
Sn 0.1866 0.8402 0.3464  2 Pt 2.71, 1 Sn 2.94
Sn 0.6536 0.4938 0.8402  2 Pt 2.71, 1 Sn 2.94
Sn 0.5062 0.1598 0.3464  2 Pt 2.71, 1 Sn 2.94
Sn 0.4938 0.8402 0.6536  2 Pt 2.71, 1 Sn 2.94
Sn 0.6536 0.8134 0.1598  2 Pt 2.71, 1 Sn 2.94
Sn 0.8402 0.6536 0.4938  2 Pt 2.71, 1 Sn 2.94
Sn 0.1598 0.3464 0.5062  2 Pt 2.71, 1 Sn 2.94
Sn 0.1598 0.6536 0.8134  2 Pt 2.71, 1 Sn 2.94
Pt 0.0000 0.5000 0.0000  6 Sn 2.71
Pt 0.5000 0.0000 0.0000  6 Sn 2.71
Pt 0.5000 0.5000 0.5000  6 Sn 2.71
Pt 0.0000 0.0000 0.5000  6 Sn 2.71

BaSnPt: optimized geometry, PBE-GGA.

Output
V: 30.5 A^3/atom
Energy of formation from the pure elements: -2.27 eV per formula unit
Space group: No. 187
VASP energy: -14.23 eV/cell

abc: 4.8726 4.6555 4.6555
angles: 120.00 90.00 90.00
Closest atoms and distances in Å follow each position.
Fractional coordinates of all 3 atoms:
Ba 0.6666 0.6667 0.3333  6 Pt 3.63, 6 Sn 3.63
Pt 0.1669 0.0000 0.0000  3 Sn 2.69
Sn 0.1665 0.3333 0.6667  3 Pt 2.69

Ba3SnPt: optimized geometry, PBE-GGA.

Output
V: 40.7 A^3/atom
Distance to the lowest polymorph of the same formula: 0.0000 eV/atom
Energy of formation from the pure elements: -2.84 eV per formula unit
Space group: No. 6
VASP energy: -37.29 eV/cell

abc: 5.8537 8.6199 8.2206
angles: 101.13 90.00 90.00
Closest atoms and distances in Å follow each position.
Fractional coordinates of all 10 atoms:
Ba 0.5433 0.9547 0.6653  1 Pt 3.04
Ba 0.5430 0.3634 0.9770  3 Pt 3.09-3.40
Ba 0.0432 0.1698 0.4198  1 Pt 3.23
Ba 0.0431 0.6713 0.8901  2 Pt 3.00
Ba 0.5431 0.5085 0.4326  1 Pt 3.11
Ba 0.5432 0.9116 0.1521  1 Pt 3.23
Sn 0.0430 0.7413 0.3702  1 Pt 2.77
Sn 0.0430 0.1332 0.9709  1 Pt 2.86
Pt 0.5431 0.6552 0.8095  6 Ba 3.00-3.23
Pt 0.0431 0.4342 0.1893  2 Sn 2.77-2.86

BaSn2Pt: optimized geometry, PBE-GGA.

Output
V: 34.0 A^3/atom
Energy of formation from the pure elements: -1.69 eV per formula unit
Space group: No. 122
VASP energy: -35.32 eV/cell

abc: 5.4769 5.4769 9.8623
angles: 73.88 73.88 90.00
Closest atoms and distances in Å follow each position.
Fractional coordinates of all 8 atoms:
Ba 0.5000 0.5000 0.0000  4 Sn 3.51, 4 Pt 3.87
Ba 0.2500 0.7500 0.5000  4 Sn 3.51, 4 Pt 3.87
Pt 0.0000 0.0000 0.0000  4 Sn 2.68
Pt 0.7500 0.2500 0.5000  4 Sn 2.68
Sn 0.7953 0.1250 0.2500  2 Pt 2.68, 2 Sn 2.87
Sn 0.9547 0.6250 0.2500  2 Pt 2.68, 2 Sn 2.87
Sn 0.3750 0.2047 0.7500  2 Pt 2.68, 2 Sn 2.87
Sn 0.8750 0.0453 0.7500  2 Pt 2.68, 2 Sn 2.87

BaSn2Pt: optimized geometry, PBE-GGA.

Output
V: 29.0 A^3/atom
Energy of formation from the pure elements: -2.88 eV per formula unit
Space group: No. 166
VASP energy: -18.85 eV/cell

abc: 4.5594 4.5594 6.9583
angles: 70.88 70.88 60.00
Closest atoms and distances in Å follow each position.
Fractional coordinates of all 4 atoms:
Ba 0.5000 0.5000 0.5000  6 Sn 3.50
Pt 0.0000 0.0000 0.0000  6 Sn 2.79
Sn 0.2860 0.2860 0.1420  3 Pt 2.79
Sn 0.7140 0.7140 0.8580  3 Pt 2.79

BaSnPt4: optimized geometry, PBE-GGA.

Output
V: 20.4 A^3/atom
Energy of formation from the pure elements: -2.87 eV per formula unit
Space group: No. 216
VASP energy: -32.96 eV/cell

abc: 5.5704 5.5704 5.5704
angles: 60.00 60.00 60.00
Closest atoms and distances in Å follow each position.
Fractional coordinates of all 6 atoms:
Ba 0.2500 0.2500 0.2500  12 Pt 3.27, 4 Sn 3.41
Pt 0.6260 0.6260 0.1219  6 Pt 2.76-2.81
Pt 0.6260 0.1219 0.6260  6 Pt 2.76-2.81
Pt 0.6260 0.6260 0.6260  6 Pt 2.76-2.81
Pt 0.1219 0.6260 0.6260  6 Pt 2.76-2.81
Sn 0.0000 0.0000 0.0000  12 Pt 3.26, 4 Ba 3.41

BaSn2Pt4: optimized geometry, PBE-GGA.

Output
V: 21.7 A^3/atom
Energy of formation from the pure elements: -4.08 eV per formula unit
Space group: No. 140
VASP energy: -76.35 eV/cell

abc: 7.3312 7.3312 7.3312
angles: 109.34 109.53 109.53
Closest atoms and distances in Å follow each position.
Fractional coordinates of all 14 atoms:
Ba 0.0000 0.2500 0.2500  8 Pt 3.32
Ba 0.0000 0.7500 0.7500  8 Pt 3.32
Sn 0.7974 0.1487 0.6487  8 Pt 2.80-2.86
Sn 0.2026 0.8513 0.3513  8 Pt 2.80-2.86
Sn 0.5000 0.6487 0.8513  8 Pt 2.80-2.86
Sn 0.5000 0.3513 0.1487  8 Pt 2.80-2.86
Pt 0.7949 0.8102 0.3102  4 Pt 2.76-2.90, 4 Sn 2.80-2.86
Pt 0.2051 0.5153 0.0153  4 Pt 2.76-2.90, 4 Sn 2.80-2.86
Pt 0.5000 0.3102 0.5153  4 Pt 2.76-2.90, 4 Sn 2.80-2.86
Pt 0.5000 0.0153 0.8102  4 Pt 2.76-2.90, 4 Sn 2.80-2.86
Pt 0.5000 0.9847 0.1898  4 Pt 2.76-2.90, 4 Sn 2.80-2.86
Pt 0.5000 0.6898 0.4847  4 Pt 2.76-2.90, 4 Sn 2.80-2.86
Pt 0.7949 0.4847 0.9847  4 Pt 2.76-2.90, 4 Sn 2.80-2.86
Pt 0.2051 0.1898 0.6898  4 Pt 2.76-2.90, 4 Sn 2.80-2.86

Ba12Sn3Pt5: optimized geometry, PBE-GGA.

Output
V: 45.8 A^3/atom
Energy of formation from the pure elements: -10.71 eV per formula unit
Space group: No. 230
VASP energy: -304.00 eV/cell

abc: 16.8268 16.8268 16.8268
angles: 109.47 109.47 109.47
Closest atoms and distances in Å follow each position.
Fractional coordinates of all 80 atoms:
Sn 0.7500 0.3750 0.1250  8 Ba 3.67-3.74
Sn 0.8750 0.7500 0.1250  8 Ba 3.67-3.74
Sn 0.3750 0.7500 0.6250  8 Ba 3.67-3.74
Sn 0.2500 0.1250 0.3750  8 Ba 3.67-3.74
Sn 0.8750 0.1250 0.2500  8 Ba 3.67-3.74
Sn 0.3750 0.6250 0.2500  8 Ba 3.67-3.74
Sn 0.6250 0.3750 0.7500  8 Ba 3.67-3.74
Sn 0.1250 0.8750 0.7500  8 Ba 3.67-3.74
Sn 0.7500 0.8750 0.6250  8 Ba 3.67-3.74
Sn 0.6250 0.2500 0.3750  8 Ba 3.67-3.74
Sn 0.1250 0.2500 0.8750  8 Ba 3.67-3.74
Sn 0.2500 0.6250 0.8750  8 Ba 3.67-3.74
Pt 0.1250 0.3750 0.2500  4 Ba 2.98
Pt 0.0000 0.5000 0.0000  6 Ba 3.21
Pt 0.0000 0.0000 0.0000  6 Ba 3.21
Pt 0.3750 0.2500 0.1250  4 Ba 2.98
Pt 0.5000 0.0000 0.5000  6 Ba 3.21
Pt 0.5000 0.5000 0.0000  6 Ba 3.21
Pt 0.1250 0.7500 0.3750  4 Ba 2.98
Pt 0.7500 0.1250 0.8750  4 Ba 2.98
Pt 0.7500 0.6250 0.3750  4 Ba 2.98
Pt 0.3750 0.1250 0.7500  4 Ba 2.98
Pt 0.6250 0.8750 0.2500  4 Ba 2.98
Pt 0.5000 0.5000 0.5000  6 Ba 3.21
Pt 0.5000 0.0000 0.0000  6 Ba 3.21
Pt 0.0000 0.0000 0.5000  6 Ba 3.21
Pt 0.2500 0.3750 0.6250  4 Ba 2.98
Pt 0.2500 0.8750 0.1250  4 Ba 2.98
Pt 0.0000 0.5000 0.5000  6 Ba 3.21
Pt 0.8750 0.2500 0.6250  4 Ba 2.98
Pt 0.6250 0.7500 0.8750  4 Ba 2.98
Pt 0.8750 0.6250 0.7500  4 Ba 2.98
Ba 0.7129 0.1277 0.0371  2 Pt 2.98-3.21
Ba 0.3242 0.5371 0.4094  2 Pt 2.98-3.21
Ba 0.9629 0.3723 0.2871  2 Pt 2.98-3.21
Ba 0.5371 0.2129 0.1277  2 Pt 2.98-3.21
Ba 0.5852 0.7129 0.6758  2 Pt 2.98-3.21
Ba 0.9629 0.5906 0.1758  2 Pt 2.98-3.21
Ba 0.3242 0.7871 0.4148  2 Pt 2.98-3.21
Ba 0.0906 0.9148 0.1277  2 Pt 2.98-3.21
Ba 0.5906 0.9629 0.6758  2 Pt 2.98-3.21
Ba 0.7129 0.5852 0.1758  2 Pt 2.98-3.21
Ba 0.7871 0.4629 0.3723  2 Pt 2.98-3.21
Ba 0.8242 0.9094 0.0371  2 Pt 2.98-3.21
Ba 0.1277 0.7129 0.5371  2 Pt 2.98-3.21
Ba 0.3723 0.4094 0.0852  2 Pt 2.98-3.21
Ba 0.0852 0.9094 0.3723  2 Pt 2.98-3.21
Ba 0.4148 0.1277 0.5906  2 Pt 2.98-3.21
Ba 0.0852 0.1758 0.2129  2 Pt 2.98-3.21
Ba 0.4629 0.6758 0.0906  2 Pt 2.98-3.21
Ba 0.8242 0.9148 0.2871  2 Pt 2.98-3.21
Ba 0.1277 0.4148 0.0906  2 Pt 2.98-3.21
Ba 0.3723 0.9629 0.7871  2 Pt 2.98-3.21
Ba 0.5906 0.6277 0.4148  2 Pt 2.98-3.21
Ba 0.9094 0.8242 0.5371  2 Pt 2.98-3.21
Ba 0.7871 0.3242 0.9148  2 Pt 2.98-3.21
Ba 0.4094 0.3723 0.5852  2 Pt 2.98-3.21
Ba 0.0906 0.1758 0.4629  2 Pt 2.98-3.21
Ba 0.2129 0.6758 0.0852  2 Pt 2.98-3.21
Ba 0.1758 0.0852 0.7129  2 Pt 2.98-3.21
Ba 0.6277 0.0371 0.2129  2 Pt 2.98-3.21
Ba 0.8723 0.5852 0.9094  2 Pt 2.98-3.21
Ba 0.5371 0.3242 0.9094  2 Pt 2.98-3.21
Ba 0.5852 0.8723 0.4094  2 Pt 2.98-3.21
Ba 0.9148 0.8242 0.7871  2 Pt 2.98-3.21
Ba 0.9148 0.0906 0.6277  2 Pt 2.98-3.21
Ba 0.8723 0.2871 0.4629  2 Pt 2.98-3.21
Ba 0.1758 0.0906 0.9629  2 Pt 2.98-3.21
Ba 0.6277 0.5906 0.9148  2 Pt 2.98-3.21
Ba 0.4094 0.0371 0.3242  2 Pt 2.98-3.21
Ba 0.2871 0.4148 0.8242  2 Pt 2.98-3.21
Ba 0.2129 0.5371 0.6277  2 Pt 2.98-3.21
Ba 0.9094 0.0852 0.8723  2 Pt 2.98-3.21
Ba 0.6758 0.2129 0.5852  2 Pt 2.98-3.21
Ba 0.4629 0.7871 0.8723  2 Pt 2.98-3.21
Ba 0.0371 0.4094 0.8242  2 Pt 2.98-3.21
Ba 0.4148 0.2871 0.3242  2 Pt 2.98-3.21
Ba 0.0371 0.6277 0.7129  2 Pt 2.98-3.21
Ba 0.6758 0.4629 0.5906  2 Pt 2.98-3.21
Ba 0.2871 0.8723 0.9629  2 Pt 2.98-3.21

BaSn3Pt3: optimized geometry, PBE-GGA.

Output
V: 28.9 A^3/atom
Distance to the lowest polymorph of the same formula: 0.0000 eV/atom
Energy of formation from the pure elements: -3.68 eV per formula unit
Space group: No. 223
VASP energy: -71.48 eV/cell

abc: 7.3923 7.3923 7.3923
angles: 90.00 90.00 90.00
Closest atoms and distances in Å follow each position.
Fractional coordinates of all 14 atoms:
Ba 0.5000 0.5000 0.5000  12 Sn 4.13, 12 Pt 4.13
Ba 0.0000 0.0000 0.0000  12 Sn 4.13, 12 Pt 4.13
Pt 0.0000 0.2500 0.5000  4 Sn 2.61
Pt 0.0000 0.7500 0.5000  4 Sn 2.61
Pt 0.5000 0.0000 0.7500  4 Sn 2.61
Pt 0.7500 0.5000 0.0000  4 Sn 2.61
Pt 0.5000 0.0000 0.2500  4 Sn 2.61
Pt 0.2500 0.5000 0.0000  4 Sn 2.61
Sn 0.2500 0.0000 0.5000  4 Pt 2.61
Sn 0.0000 0.5000 0.2500  4 Pt 2.61
Sn 0.5000 0.7500 0.0000  4 Pt 2.61
Sn 0.7500 0.0000 0.5000  4 Pt 2.61
Sn 0.0000 0.5000 0.7500  4 Pt 2.61
Sn 0.5000 0.2500 0.0000  4 Pt 2.61

Ba2Sn3Pt: optimized geometry, PBE-GGA.

Output
V: 33.8 A^3/atom
Distance to the lowest polymorph of the same formula: 0.0080 eV/atom
Energy of formation from the pure elements: -4.09 eV per formula unit
Space group: No. 8
VASP energy: -25.99 eV/cell

abc: 4.8536 6.9762 6.9756
angles: 93.60 69.64 69.64
Closest atoms and distances in Å follow each position.
Fractional coordinates of all 6 atoms:
Ba 0.4926 0.2520 0.7627  3 Pt 3.55-3.89, 9 Sn 3.67-3.93
Ba 0.4919 0.7636 0.2526  3 Pt 3.54-3.90, 9 Sn 3.67-3.94
Sn 0.8627 0.6375 0.6371  1 Pt 2.65, 2 Sn 2.94
Sn 0.8075 0.1929 0.1921  2 Pt 2.63, 1 Sn 2.90
Sn 0.1601 0.8394 0.8404  3 Sn 2.90-2.94
Pt 0.1853 0.3145 0.3150  3 Sn 2.63-2.65